No. 1
{"formula": "NaPm4Pt2", "functional": "PBE", "state": "relaxed", "cell": [[7.405, 0.000, 0.000], [1.832, 7.213, 0.000], [1.838, 0.253, 7.641]], "species": ["Na", "Na", "Pm", "Pm", "Pm", "Pm", "Pm", "Pm", "Pm", "Pm", "Pt", "Pt", "Pt", "Pt"], "fractional_positions": [[0.000, 0.000, 0.000], [0.425, 0.004, 0.025], [0.059, 0.991, 0.422], [0.167, 0.473, 0.134], [0.228, 0.287, 0.653], [0.364, 0.725, 0.718], [0.638, 0.302, 0.299], [0.674, 0.755, 0.307], [0.697, 0.276, 0.769], [0.845, 0.705, 0.761], [0.293, 0.606, 0.412], [0.537, 0.581, 0.023], [0.606, 0.004, 0.580], [0.914, 0.429, 0.468]], "density_g_cm3": 8.08, "vol_a3_per_cell": 408.1, "e_form_ev_per_atom": -0.5711, "sg": "P1", "n_ef_per_ev_cell": 12.86}


No. 2
{"formula": "Na2PmPt6", "functional": "PBE", "state": "relaxed", "cell": [[0.000, 4.649, 4.649], [4.649, 0.000, 4.649], [4.649, 4.649, 0.000]], "species": ["Na", "Na", "Pm", "Pt", "Pt", "Pt", "Pt", "Pt", "Pt"], "fractional_positions": [[0.250, 0.250, 0.250], [0.750, 0.750, 0.750], [0.000, 0.000, 0.000], [0.295, 0.295, 0.705], [0.295, 0.705, 0.295], [0.295, 0.705, 0.705], [0.705, 0.295, 0.295], [0.705, 0.295, 0.705], [0.705, 0.705, 0.295]], "density_g_cm3": 11.25, "vol_a3_per_cell": 201.0, "e_form_ev_per_atom": 0.1170, "sg": "Fm-3m", "n_ef_per_ev_cell": 8.41}


No. 3
{"formula": "NaPm3Pt", "functional": "PBE", "state": "relaxed", "cell": [[5.672, 0.000, 0.000], [0.000, 5.672, 0.000], [0.000, 0.000, 5.672]], "species": ["Na", "Pm", "Pm", "Pm", "Pt"], "fractional_positions": [[0.000, 0.000, 0.000], [0.000, 0.500, 0.500], [0.500, 0.000, 0.500], [0.500, 0.500, 0.000], [0.500, 0.500, 0.500]], "density_g_cm3": 5.94, "vol_a3_per_cell": 182.4, "e_form_ev_per_atom": -0.2592, "sg": "Pm-3m", "n_ef_per_ev_cell": 6.30}


No. 4
{"formula": "NaPmPtRh", "functional": "PBE", "state": "relaxed", "cell": [[6.833, 0.000, 0.000], [0.000, 6.833, 0.000], [0.000, 0.000, 6.833]], "species": ["Na", "Na", "Na", "Na", "Pm", "Pm", "Pm", "Pm", "Pt", "Pt", "Pt", "Pt", "Rh", "Rh", "Rh", "Rh"], "fractional_positions": [[0.000, 0.000, 0.000], [0.000, 0.500, 0.500], [0.500, 0.000, 0.500], [0.500, 0.500, 0.000], [0.000, 0.000, 0.500], [0.000, 0.500, 0.000], [0.500, 0.000, 0.000], [0.500, 0.500, 0.500], [0.250, 0.250, 0.750], [0.250, 0.750, 0.250], [0.750, 0.250, 0.250], [0.750, 0.750, 0.750], [0.250, 0.250, 0.250], [0.250, 0.750, 0.750], [0.750, 0.250, 0.750], [0.750, 0.750, 0.250]], "density_g_cm3": 9.70, "vol_a3_per_cell": 319.1, "e_form_ev_per_atom": -0.3964, "sg": "F-43m", "n_ef_per_ev_cell": 6.63}


No. 5
{"formula": "NaPm2Si4Pt3", "functional": "PBE", "state": "relaxed", "cell": [[4.273, 0.000, 0.000], [0.000, 4.273, 0.000], [0.000, 0.000, 10.195]], "species": ["Na", "Pm", "Pm", "Si", "Si", "Si", "Si", "Pt", "Pt", "Pt"], "fractional_positions": [[0.000, 0.000, 0.000], [0.000, 0.500, 0.742], [0.500, 0.000, 0.258], [0.000, 0.000, 0.500], [0.000, 0.500, 0.149], [0.500, 0.000, 0.851], [0.500, 0.500, 0.500], [0.000, 0.500, 0.385], [0.500, 0.000, 0.615], [0.500, 0.500, 0.000]], "density_g_cm3": 9.01, "vol_a3_per_cell": 186.2, "raw_formation_energy_mev_per_atom": -834, "sg": "P-4m2", "n_ef_per_ev_cell": 4.21}


No. 6
{"formula": "NaPmSnPt", "functional": "PBE", "state": "relaxed", "cell": [[6.992, 0.000, 0.000], [0.000, 6.992, 0.000], [0.000, 0.000, 6.992]], "species": ["Na", "Na", "Na", "Na", "Pm", "Pm", "Pm", "Pm", "Sn", "Sn", "Sn", "Sn", "Pt", "Pt", "Pt", "Pt"], "fractional_positions": [[0.000, 0.000, 0.000], [0.000, 0.500, 0.500], [0.500, 0.000, 0.500], [0.500, 0.500, 0.000], [0.250, 0.250, 0.250], [0.250, 0.750, 0.750], [0.750, 0.250, 0.750], [0.750, 0.750, 0.250], [0.250, 0.250, 0.750], [0.250, 0.750, 0.250], [0.750, 0.250, 0.250], [0.750, 0.750, 0.750], [0.000, 0.000, 0.500], [0.000, 0.500, 0.000], [0.500, 0.000, 0.000], [0.500, 0.500, 0.500]], "density_g_cm3": 9.36, "vol_a3_per_cell": 341.9, "e_form_ev_per_atom": -0.6849, "sg": "F-43m"}


No. 7
{"formula": "NaPm2Pu", "functional": "PBE", "state": "relaxed", "cell": [[3.478, 0.000, 0.000], [0.000, 3.478, 0.000], [0.000, 0.000, 10.772]], "species": ["Na", "Pm", "Pm", "Pu"], "fractional_positions": [[0.000, 0.000, 0.000], [0.500, 0.500, 0.275], [0.500, 0.500, 0.725], [0.000, 0.000, 0.500]], "density_g_cm3": 7.10, "vol_a3_per_cell": 130.3, "e_form_ev_per_atom": 0.1897, "sg": "P4/mmm", "n_ef_per_ev_cell": 8.82}


No. 8
{"formula": "NaPmPu2S4", "functional": "PBE", "state": "relaxed", "cell": [[6.946, 0.000, 0.000], [0.000, 4.013, 0.000], [-2.315, 0.000, 6.558]], "species": ["Na", "Pm", "Pu", "Pu", "S", "S", "S", "S"], "fractional_positions": [[0.000, 0.000, 0.000], [0.000, 0.500, 0.500], [0.500, 0.000, 0.500], [0.500, 0.500, 0.000], [0.257, 0.000, 0.751], [0.260, 0.500, 0.257], [0.740, 0.500, 0.743], [0.743, 0.000, 0.249]], "density_g_cm3": 7.12, "vol_a3_per_cell": 182.8, "raw_formation_energy_mev_per_atom": -1747, "sg": "P2/m", "n_ef_per_ev_cell": 15.11}


Which formula does entry 6 have? NaPmSnPt


Copy entry 1 word for word.
{"formula": "NaPm4Pt2", "functional": "PBE", "state": "relaxed", "cell": [[7.405, 0.000, 0.000], [1.832, 7.213, 0.000], [1.838, 0.253, 7.641]], "species": ["Na", "Na", "Pm", "Pm", "Pm", "Pm", "Pm", "Pm", "Pm", "Pm", "Pt", "Pt", "Pt", "Pt"], "fractional_positions": [[0.000, 0.000, 0.000], [0.425, 0.004, 0.025], [0.059, 0.991, 0.422], [0.167, 0.473, 0.134], [0.228, 0.287, 0.653], [0.364, 0.725, 0.718], [0.638, 0.302, 0.299], [0.674, 0.755, 0.307], [0.697, 0.276, 0.769], [0.845, 0.705, 0.761], [0.293, 0.606, 0.412], [0.537, 0.581, 0.023], [0.606, 0.004, 0.580], [0.914, 0.429, 0.468]], "density_g_cm3": 8.08, "vol_a3_per_cell": 408.1, "e_form_ev_per_atom": -0.5711, "sg": "P1", "n_ef_per_ev_cell": 12.86}